Entry 1:
Here is an optimized crystal structure of Bi3SbPt4 from the Alexandria database. Energies are from PBE.

## Properties
N(E_F) in states/eV per atom: 0.56
Formation energy without anion corrections in eV/atom: -0.16

a = 6.620 Å, b = 6.620 Å, c = 6.620 Å
α = 86.75°, β = 114.70°, γ = 129.70°
Fractional positions:
Bi (0.914, 0.000, 0.914)
Sb (0.073, 0.500, 0.573)
Bi (0.604, 0.732, 0.336)
Pt (0.504, 0.244, 0.260)
Pt (0.218, 0.253, 0.471)
Pt (0.016, 0.756, 0.260)
Pt (0.218, 0.747, 0.966)
Bi (0.604, 0.268, 0.872)



Entry 2:
Here is an optimized crystal structure of Tb2CeErSe6 from the Alexandria database. Energies are from PBE.

## Properties
N(E_F) in states/eV per atom: 0.50
Formation energy without anion corrections in eV/atom: -1.82

a = 7.289 Å, b = 7.289 Å, c = 7.759 Å
α = 61.98°, β = 61.98°, γ = 60.00°
Site moments in Bohr magnetons follow the coordinates.
Fractional positions:
Ce (0.814, 0.814, 0.558)  0.96
Se (0.401, 0.720, 0.752)  -0.01
Se (0.607, 0.224, 0.249)  -0.01
Se (0.920, 0.607, 0.249)  -0.01
Se (0.720, 0.127, 0.752)  -0.01
Tb (0.013, 0.013, 0.962)  0.01
Se (0.127, 0.401, 0.752)  -0.01
Se (0.224, 0.921, 0.249)  -0.01
Er (0.319, 0.319, 0.043)  0.00
Tb (0.516, 0.516, 0.451)  0.01



Entry 3:
Here is an optimized crystal structure of Cs3Rb6Na5 from the Alexandria database. Energies are from PBE.

## Properties
ΔE_f in kJ/mol of formula units: 47
N(E_F) in states/eV per atom: 0.76

a = 6.866 Å, b = 15.486 Å, c = 19.920 Å
α = 90.00°, β = 90.00°, γ = 90.00°
Fractional positions:
Cs (0.500, 0.750, 0.212)
Na (0.000, 0.571, 0.107)
Na (0.500, 0.151, 0.861)
Rb (0.500, 0.419, 0.175)
Rb (0.500, 0.025, 0.340)
Rb (0.000, 0.975, 0.160)
Na (0.000, 0.772, 0.000)
Rb (0.000, 0.385, 0.500)
Cs (0.500, 0.726, 0.500)
Rb (0.000, 0.052, 0.500)
Rb (0.500, 0.025, 0.660)
Rb (0.500, 0.419, 0.825)
Na (0.000, 0.849, 0.361)
Na (0.500, 0.228, 0.500)
Na (0.000, 0.571, 0.893)
Cs (0.500, 0.750, 0.788)
Cs (0.000, 0.274, 0.000)
Na (0.500, 0.429, 0.393)
Rb (0.000, 0.581, 0.325)
Na (0.500, 0.429, 0.607)
Na (0.000, 0.849, 0.639)
Rb (0.500, 0.615, 0.000)
Rb (0.500, 0.948, 0.000)
Na (0.500, 0.151, 0.139)
Rb (0.000, 0.581, 0.675)
Cs (0.000, 0.250, 0.288)
Cs (0.000, 0.250, 0.712)
Rb (0.000, 0.975, 0.840)



Entry 4:
Here is an optimized crystal structure of Nd6HgAu2 from the Alexandria database. Energies are from PBE.

## Properties
ΔE_f in kJ/mol of formula units: -232
N(E_F) in states/eV per atom: 1.86

a = 5.161 Å, b = 7.354 Å, c = 8.980 Å
α = 114.17°, β = 106.85°, γ = 90.00°
Site moments in Bohr magnetons follow the coordinates.
Fractional positions:
Nd (0.831, 0.085, 0.661)  0.09
Au (0.333, 0.332, 0.665)  0.02
Nd (0.500, 0.260, 0.000)  0.12
Hg (0.000, 0.000, 0.000)  0.01
Au (0.667, 0.668, 0.335)  0.02
Nd (0.169, 0.915, 0.339)  0.09
Nd (0.831, 0.576, 0.661)  0.09
Nd (0.500, 0.740, 0.000)  0.12
Nd (0.169, 0.424, 0.339)  0.09



Entry 5:
Here is an optimized crystal structure of Na2Li2TeO6 from the Alexandria database. Energies are from PBE.

## Properties
N(E_F) in states/eV per atom: 0.49
Formation energy without anion corrections in eV/atom: -1.31

a = 5.261 Å, b = 5.261 Å, c = 5.421 Å
α = 90.00°, β = 90.00°, γ = 120.00°
Site moments in Bohr magnetons follow the coordinates.
Fractional positions:
Li (0.667, 0.333, 0.000)  -0.01
O (0.000, 0.307, 0.801)  0.28
Na (0.333, 0.667, 0.500)  0.00
O (0.307, 0.000, 0.801)  0.28
O (0.000, 0.693, 0.199)  0.28
O (0.693, 0.693, 0.801)  0.28
O (0.693, 0.000, 0.199)  0.28
O (0.307, 0.307, 0.199)  0.28
Li (0.333, 0.667, 0.000)  -0.01
Na (0.667, 0.333, 0.500)  0.00
Te (0.000, 0.000, 0.000)  -0.04



Entry 6:
Here is an optimized crystal structure of Cs5Pb3Br12 from the Alexandria database. Energies are from PBE.

## Properties
N(E_F) in states/eV per atom: 1.03
Formation energy without anion corrections in eV/atom: -1.21

a = 17.990 Å, b = 17.990 Å, c = 17.990 Å
α = 109.47°, β = 109.47°, γ = 109.47°
Fractional positions:
Br (0.983, 0.294, 0.865)
Br (0.882, 0.365, 0.072)
Br (0.428, 0.618, 0.635)
Cs (0.000, 0.500, 0.000)
Br (0.635, 0.517, 0.706)
Br (0.983, 0.689, 0.618)
Pb (0.625, 0.375, 0.750)
Cs (0.750, 0.625, 0.375)
Pb (0.125, 0.875, 0.750)
Br (0.017, 0.706, 0.135)
Br (0.311, 0.294, 0.928)
Cs (0.375, 0.250, 0.125)
Br (0.794, 0.928, 0.811)
Cs (0.500, 0.000, 0.500)
Cs (0.875, 0.625, 0.750)
Cs (0.000, 0.000, 0.000)
Br (0.928, 0.135, 0.118)
Pb (0.375, 0.625, 0.250)
Br (0.865, 0.794, 0.983)
Br (0.206, 0.135, 0.517)
Br (0.517, 0.635, 0.206)
Br (0.811, 0.428, 0.794)
Br (0.135, 0.206, 0.017)
Br (0.689, 0.706, 0.072)
Cs (0.250, 0.875, 0.125)
Br (0.483, 0.118, 0.189)
Cs (0.375, 0.125, 0.750)
Br (0.017, 0.311, 0.382)
Br (0.294, 0.983, 0.365)
Br (0.072, 0.865, 0.882)
Br (0.311, 0.017, 0.882)
Cs (0.875, 0.250, 0.625)
Pb (0.750, 0.875, 0.625)
Br (0.382, 0.572, 0.865)
Pb (0.250, 0.625, 0.875)
Br (0.189, 0.618, 0.483)
Br (0.189, 0.572, 0.206)
Cs (0.500, 0.500, 0.500)
Pb (0.625, 0.250, 0.375)
Cs (0.750, 0.125, 0.875)
Br (0.365, 0.483, 0.294)
Pb (0.375, 0.750, 0.625)
Br (0.072, 0.206, 0.689)
Pb (0.875, 0.750, 0.125)
Br (0.382, 0.811, 0.017)
Br (0.428, 0.811, 0.294)
Pb (0.250, 0.125, 0.375)
Br (0.206, 0.072, 0.189)
Br (0.794, 0.865, 0.483)
Pb (0.750, 0.375, 0.125)
Br (0.118, 0.635, 0.928)
Br (0.811, 0.382, 0.517)
Cs (0.000, 0.000, 0.500)
Br (0.635, 0.118, 0.428)
Cs (0.125, 0.750, 0.375)
Br (0.865, 0.072, 0.382)
Cs (0.000, 0.500, 0.500)
Br (0.118, 0.483, 0.689)
Br (0.294, 0.311, 0.428)
Br (0.135, 0.928, 0.618)
Cs (0.125, 0.375, 0.250)
Br (0.928, 0.794, 0.311)
Br (0.706, 0.017, 0.635)
Br (0.882, 0.517, 0.311)
Br (0.517, 0.882, 0.811)
Br (0.706, 0.689, 0.572)
Pb (0.875, 0.125, 0.250)
Cs (0.250, 0.375, 0.625)
Br (0.572, 0.382, 0.365)
Cs (0.625, 0.750, 0.875)
Cs (0.500, 0.500, 0.000)
Br (0.618, 0.428, 0.135)
Br (0.365, 0.882, 0.572)
Br (0.483, 0.365, 0.794)
Pb (0.125, 0.250, 0.875)
Br (0.618, 0.189, 0.983)
Br (0.572, 0.189, 0.706)
Cs (0.625, 0.875, 0.250)
Br (0.689, 0.983, 0.118)
Cs (0.500, 0.000, 0.000)